1.
Entry from the Alexandria database: a geometry-optimized SiIr2Au structure (GGA-PBE).

a b c (Å): 4.426 4.426 4.426
angles (deg): 60.00 60.00 60.00
Sites, in units of the cell vectors:
Ir (0.750, 0.750, 0.750)
Ir (0.000, 0.000, 0.000)
Au (0.500, 0.500, 0.500)
Si (0.250, 0.250, 0.250)

Properties
As for the calculated total energy: -24.9 eV per formula unit. The spin magnetization comes out at 0.0 μB/f.u. The formation energy from raw total energies comes out at 0.383 eV per atom. The symmetry is F-43m, No. 216. As for the density of states at the Fermi level: 1.180 states/eV/atom.

2.
Entry from the Alexandria database: a geometry-optimized Na4Ce3AgO8 structure (GGA-PBE).

a b c (Å): 7.059 6.920 7.061
angles (deg): 120.66 119.99 90.00
Sites, in units of the cell vectors:
Na (0.000, 0.000, 0.000)
Na (0.500, 0.000, 0.000)
Na (0.500, 0.000, 0.500)
Na (0.000, 0.000, 0.500)
O (0.739, 0.719, 0.479)
O (0.744, 0.282, 0.487)
O (0.705, 0.718, 0.962)
O (0.256, 0.718, 0.962)
O (0.744, 0.282, 0.038)
O (0.256, 0.718, 0.513)
O (0.295, 0.282, 0.038)
O (0.261, 0.281, 0.521)
Ce (0.000, 0.500, 0.500)
Ce (0.500, 0.500, 0.500)
Ce (0.500, 0.500, 0.000)
Ag (0.000, 0.500, 0.000)

Properties
As for the calculated total energy: -103.1 eV per formula unit. The spin magnetization comes out at 1.1 μB/f.u. The formation energy from raw total energies comes out at -2.346 eV per atom. The symmetry is R-3m, No. 166. As for the density of states at the Fermi level: 0.513 states/eV/atom.

3.
Entry from the Alexandria database: a geometry-optimized HoScBiTe structure (GGA-PBE).

a b c (Å): 4.218 4.217 7.814
angles (deg): 90.00 105.64 120.00
Sites, in units of the cell vectors:
Te (0.960, 0.378, 0.353)
Sc (0.129, 0.963, 0.107)
Ho (0.474, 0.135, 0.624)
Bi (0.315, 0.555, 0.886)

Properties
As for the calculated total energy: -21.7 eV per formula unit. The spin magnetization comes out at 0.3 μB/f.u. The formation energy from raw total energies comes out at -0.937 eV per atom. The symmetry is R3m, No. 160. As for the density of states at the Fermi level: 0.841 states/eV/atom.

4.
Entry from the Alexandria database: a geometry-optimized InB structure (GGA-PBE).

a b c (Å): 7.312 7.312 7.312
angles (deg): 90.00 90.00 90.00
Sites, in units of the cell vectors:
In (0.829, 0.829, 0.829)
In (0.171, 0.829, 0.171)
In (0.671, 0.671, 0.329)
In (0.329, 0.671, 0.671)
In (0.171, 0.171, 0.829)
In (0.671, 0.329, 0.671)
In (0.829, 0.171, 0.171)
In (0.329, 0.329, 0.329)
B (0.653, 0.653, 0.653)
B (0.347, 0.347, 0.653)
B (0.847, 0.153, 0.847)
B (0.347, 0.653, 0.347)
B (0.847, 0.847, 0.153)
B (0.153, 0.153, 0.153)
B (0.653, 0.347, 0.347)
B (0.153, 0.847, 0.847)

Properties
The value obtained for the energy relative to the lowest polymorph listed for this composition is 926 meV/atom. The energy of formation comes out at 1.289 eV/atom. As for the calculated total energy: -6.8 eV per formula unit. The spin magnetization comes out at 0.0 μB/f.u. The symmetry is I-43m, No. 217. As for the density of states at the Fermi level: 0.394 states/eV/atom.

5.
Entry from the Alexandria database: a geometry-optimized Tl2HgOs structure (GGA-PBE).

a b c (Å): 3.043 3.043 11.163
angles (deg): 90.00 90.00 115.66
Sites, in units of the cell vectors:
Hg (0.000, 0.000, 0.531)
Tl (0.000, 0.000, 0.959)
Tl (0.500, 0.500, 0.268)
Os (0.500, 0.500, 0.742)

Properties
The value obtained for the energy relative to the lowest polymorph listed for this composition is 161 meV/atom. The energy of formation comes out at 0.758 eV/atom. As for the calculated total energy: -13.2 eV per formula unit. The spin magnetization comes out at 0.8 μB/f.u. The symmetry is Cmm2, No. 35. As for the density of states at the Fermi level: 0.634 states/eV/atom.

6.
Entry from the Alexandria database: a geometry-optimized IrRu3Rh3 structure (GGA-PBE).

a b c (Å): 4.964 4.964 4.964
angles (deg): 104.63 104.63 104.63
Sites, in units of the cell vectors:
Ru (0.973, 0.537, 0.973)
Ru (0.537, 0.973, 0.973)
Ru (0.973, 0.973, 0.537)
Rh (0.532, 0.532, 0.164)
Rh (0.532, 0.164, 0.532)
Rh (0.164, 0.532, 0.532)
Ir (0.088, 0.088, 0.088)

Properties
The value obtained for the energy relative to the lowest polymorph listed for this composition is 137 meV/atom. The energy of formation comes out at 0.420 eV/atom. As for the calculated total energy: -55.8 eV per formula unit. The spin magnetization comes out at 0.0 μB/f.u. The symmetry is R3m, No. 160. As for the density of states at the Fermi level: 1.408 states/eV/atom.